This record from Alexandria via LeMat-Bulk describes a relaxed structure of PrRhS2. The functional is PBE-GGA.

Summary:
Mass density, Mg/m³: 5.490
Crystal system: trigonal
E, eV per cell: -22.55

Unit cell a=8.212 b=8.212 c=8.212 alpha=25.91 beta=25.91 gamma=25.91
Element x y z (fractional)
1 Pr 0.000 0.000 0.000
2 Rh 0.500 0.500 0.500
3 S 0.119 0.119 0.119
4 S 0.881 0.881 0.881